# 1
Pr2SbO2 GGA-PBE relaxed; uncorrected energy = -36.45 eV/f.u.; ΔE to the lowest computed polymorph = 0 meV per atom; calculated volume = 22.7 Å³ per atom; formation energy from raw total energies = -2571 meV/atom; theoretical density = 6.386 g/cm3
1.0
-5.2412 -2.7223 -4.6768
-5.2444 -5.3965 0.3561
3.3638 5.9517 3.1646
Pr Sb O
2 1 2
Direct
0.6630 0.6630 0.0000 Pr
0.3370 0.3370 0.0000 Pr
0.0000 0.0000 0.0000 Sb
0.7500 0.2500 0.5000 O
0.2500 0.7500 0.5000 O

---

# 2
PrSbO4 GGA-PBE relaxed; uncorrected energy = -42.39 eV/f.u.; calculated volume = 14.3 Å³ per atom; formation energy from raw total energies = -2277 meV/atom; theoretical density = 6.316 g/cm3
1.0
-2.5249 -4.5263 1.5951
-0.4590 -1.5664 -5.1713
6.6376 0.3074 2.1610
Pr Sb O
2 2 8
Direct
0.0000 0.0000 0.0000 Pr
0.7500 0.2500 0.5000 Pr
0.5000 0.5000 0.0000 Sb
0.2500 0.7500 0.5000 Sb
0.9938 0.9126 0.3273 O
0.1647 0.2438 0.8273 O
0.6626 0.5835 0.8273 O
0.3335 0.4147 0.3273 O
0.4165 0.8353 0.1727 O
0.0874 0.6665 0.6727 O
0.5853 0.0062 0.6727 O
0.7562 0.3374 0.1727 O

---

Repeat the second record exactly.
PrSbO4 GGA-PBE relaxed; uncorrected energy = -42.39 eV/f.u.; calculated volume = 14.3 Å³ per atom; formation energy from raw total energies = -2277 meV/atom; theoretical density = 6.316 g/cm3
1.0
-2.5249 -4.5263 1.5951
-0.4590 -1.5664 -5.1713
6.6376 0.3074 2.1610
Pr Sb O
2 2 8
Direct
0.0000 0.0000 0.0000 Pr
0.7500 0.2500 0.5000 Pr
0.5000 0.5000 0.0000 Sb
0.2500 0.7500 0.5000 Sb
0.9938 0.9126 0.3273 O
0.1647 0.2438 0.8273 O
0.6626 0.5835 0.8273 O
0.3335 0.4147 0.3273 O
0.4165 0.8353 0.1727 O
0.0874 0.6665 0.6727 O
0.5853 0.0062 0.6727 O
0.7562 0.3374 0.1727 O

---

Question: What is the calculated volume in the first record?
Answer: 22.7 Å³ per atom

---

Question: calculated volume of number 1 (Pr2SbO2)?
Answer: 22.7 Å³ per atom